<i>
The following is a DFT calculation (GGA-PBEsol) of a relaxed MnSn3Br crystal.

Cell lengths 4.9238, 4.9238, 4.9238 Å; angles 90.00, 90.00, 90.00 degrees
Closest atoms and distances in Å follow each position.
Space group Pm-3m (No. 221)
Unique sites:
Mn1 0.0000 0.0000 0.0000 x1  6 Sn 2.46
Sn1 0.0000 0.0000 0.5000 x3  2 Mn 2.46
Br1 0.5000 0.5000 0.5000 x1  12 Sn 3.48


<ii>
The following is a DFT calculation (GGA-PBEsol) of a relaxed MnSn3Br crystal.

Cell lengths 5.4178, 5.4178, 5.4178 Å; angles 90.00, 90.00, 90.00 degrees
Closest atoms and distances in Å follow each position.
Space group Pm-3m (No. 221)
Unique sites:
Mn1 0.0000 0.0000 0.0000 x1  12 Sn 3.83
Sn1 0.0000 0.5000 0.5000 x3  2 Br 2.71
Br1 0.5000 0.5000 0.5000 x1  6 Sn 2.71


The most stable arrangement is <i>, and the next structure is 1218 meV/atom less stable.


<i>
The following is a DFT calculation (GGA-PBEsol) of a relaxed TaMnBr2 crystal.

Cell lengths 3.0557, 5.7808, 9.4036 Å; angles 90.00, 90.00, 90.00 degrees
Closest atoms and distances in Å follow each position.
Space group Cmmm (No. 65)
Unique sites:
Ta1 0.0000 0.0000 0.0000 x2  4 Br 2.63
Mn1 0.0000 0.0000 0.5000 x2  4 Br 2.98, 6 Mn 3.06-3.27
Br1 0.0000 0.5000 0.2280 x4  2 Ta 2.63


<ii>
The following is a DFT calculation (GGA-PBEsol) of a relaxed TaMnBr2 crystal.

Cell lengths 6.0795, 8.7173, 3.1758 Å; angles 90.00, 115.23, 90.00 degrees
Closest atoms and distances in Å follow each position.
Space group C2/m (No. 12)
Unique sites:
Ta1 0.0000 0.0000 0.0000 x2  4 Br 2.66
Mn1 0.0000 0.5000 0.0000 x2  4 Br 2.66
Br1 0.2500 0.2500 0.0000 x4  2 Ta 2.66, 2 Mn 2.66


<iii>
The following is a DFT calculation (GGA-PBEsol) of a relaxed TaMnBr2 crystal.

Cell lengths 3.1098, 3.1098, 8.2248 Å; angles 90.00, 90.00, 90.00 degrees
Closest atoms and distances in Å follow each position.
Space group P4mm (No. 99)
Unique sites:
Ta1 0.0000 0.0000 0.0000 x1  4 Br 2.78, 4 Mn 2.86
Mn1 0.5000 0.5000 0.7780 x1  4 Br 2.71, 4 Ta 2.86
Br1 0.0000 0.0000 0.5855 x1  4 Mn 2.71
Br2 0.5000 0.5000 0.2061 x1  4 Ta 2.78


The most stable arrangement is <iii>, and the next structure is 458 meV/atom less stable.


<i>
The following is a DFT calculation (GGA-PBEsol) of a relaxed MnTeBr2 crystal.

Cell lengths 3.6165, 5.6241, 13.0526 Å; angles 90.00, 90.00, 90.00 degrees
Closest atoms and distances in Å follow each position.
Space group Imm2 (No. 44)
Unique sites:
Mn1 0.0000 0.0000 0.0000 x2  2 Br 2.49, 2 Te 2.64
Te1 0.0000 0.5000 0.3522 x2  2 Mn 2.64, 2 Br 2.87
Br1 0.0000 0.0000 0.3954 x2  2 Te 2.87
Br2 0.0000 0.5000 0.6315 x2  2 Mn 2.49


<ii>
The following is a DFT calculation (GGA-PBEsol) of a relaxed MnTeBr2 crystal.

Cell lengths 3.5052, 4.6440, 5.9976 Å; angles 90.00, 90.00, 90.00 degrees
Closest atoms and distances in Å follow each position.
Space group Pmmm (No. 47)
Unique sites:
Mn1 0.0000 0.0000 0.0000 x1  4 Br 2.91
Te1 0.5000 0.0000 0.5000 x1  4 Br 2.91
Br1 0.0000 0.5000 0.5000 x1  4 Te 2.91
Br2 0.5000 0.5000 0.0000 x1  4 Mn 2.91


<iii>
The following is a DFT calculation (GGA-PBEsol) of a relaxed MnTeBr2 crystal.

Cell lengths 3.6922, 3.6922, 24.8322 Å; angles 90.00, 90.00, 120.00 degrees
Closest atoms and distances in Å follow each position.
Space group R3m (No. 160, hexagonal axes)
Unique sites:
Mn1 0.0000 0.0000 0.0000 x3  3 Br 2.58, 3 Te 2.68
Te1 0.0000 0.0000 0.7318 x3  3 Mn 2.68
Br1 0.0000 0.0000 0.2747 x3  3 Mn 2.58
Br2 0.0000 0.0000 0.4877 x3  3 Te 3.07


<iv>
The following is a DFT calculation (GGA-PBEsol) of a relaxed MnTeBr2 crystal.

Cell lengths 6.6246, 8.5989, 3.3383 Å; angles 90.00, 90.00, 90.00 degrees
Closest atoms and distances in Å follow each position.
Space group Cmmm (No. 65)
Unique sites:
Mn1 0.0000 0.0000 0.0000 x2  8 Br 3.19, 2 Te 3.31, 2 Mn 3.34
Te1 0.0000 0.5000 0.0000 x2  8 Br 3.19, 2 Mn 3.31, 2 Te 3.34
Br1 0.2500 0.2500 0.5000 x4  4 Mn 3.19, 4 Te 3.19, 4 Br 3.31-3.34


The most stable arrangement is <iii>, and the next structure is 62 meV/atom less stable.


<i>
The following is a DFT calculation (GGA-PBEsol) of a relaxed Mn2TeBr crystal.

Cell lengths 3.3875, 3.3875, 7.1154 Å; angles 90.00, 90.00, 90.00 degrees
Closest atoms and distances in Å follow each position.
Space group P4mm (No. 99)
Unique sites:
Mn1 0.0000 0.0000 0.0000 x1  1 Te 2.67, 4 Br 2.72, 4 Mn 2.79
Mn2 0.5000 0.5000 0.2016 x1  4 Te 2.69, 1 Br 2.72, 4 Mn 2.79
Te1 0.0000 0.0000 0.3749 x1  5 Mn 2.67-2.69
Br1 0.5000 0.5000 0.8187 x1  5 Mn 2.72


<ii>
The following is a DFT calculation (GGA-PBEsol) of a relaxed Mn2TeBr crystal.

Cell lengths 6.9622, 6.9622, 6.9622 Å; angles 90.00, 90.00, 90.00 degrees
Closest atoms and distances in Å follow each position.
Space group F-43m (No. 216)
Unique sites:
Mn1 0.0000 0.0000 0.0000 x4  4 Mn 3.01, 4 Te 3.01
Mn2 0.2500 0.2500 0.2500 x4  4 Mn 3.01, 4 Br 3.01
Te1 0.2500 0.2500 0.7500 x4  4 Mn 3.01, 4 Br 3.01
Br1 0.0000 0.0000 0.5000 x4  4 Mn 3.01, 4 Te 3.01


The most stable arrangement is <i>, and the next structure is 772 meV/atom less stable.


<i>
The following is a DFT calculation (GGA-PBEsol) of a relaxed Mn2WBr crystal.

Cell lengths 3.0838, 3.0838, 22.8802 Å; angles 90.00, 90.00, 120.00 degrees
Closest atoms and distances in Å follow each position.
Space group R-3m (No. 166, hexagonal axes)
Unique sites:
Mn1 0.0000 0.0000 0.2446 x6  3 W 2.52, 3 Br 2.70
W1 0.0000 0.0000 0.5000 x3  6 Mn 2.52
Br1 0.0000 0.0000 0.0000 x3  6 Mn 2.70


<ii>
The following is a DFT calculation (GGA-PBEsol) of a relaxed Mn2WBr crystal.

Cell lengths 3.0898, 3.0898, 23.2914 Å; angles 90.00, 90.00, 120.00 degrees
Closest atoms and distances in Å follow each position.
Space group R3m (No. 160, hexagonal axes)
Unique sites:
Mn1 0.0000 0.0000 0.0000 x3  3 W 2.33, 3 Mn 2.60
Mn2 0.0000 0.0000 0.2520 x3  3 Mn 2.60, 3 Br 2.67
W1 0.0000 0.0000 0.7308 x3  3 Mn 2.33
Br1 0.0000 0.0000 0.4999 x3  3 Mn 2.67, 3 W 2.98


The most stable arrangement is <i>, and the next structure is 111 meV/atom less stable.


<i>
The following is a DFT calculation (GGA-PBEsol) of a relaxed MnW2Br crystal.

Cell lengths 9.2441, 2.9194, 4.5931 Å; angles 90.00, 108.76, 90.00 degrees
Closest atoms and distances in Å follow each position.
Space group Cm (No. 8)
Unique sites:
Mn1 0.0000 0.0000 0.0000 x2  4 W 2.43-2.59, 2 Br 2.60
W1 0.2775 0.0000 0.8665 x2  2 Mn 2.43, 2 Br 2.62
W2 0.4948 0.0000 0.5302 x2  4 Mn 2.59-2.85, 3 Br 2.72-2.73, 1 W 2.90
Br1 0.2330 0.5000 0.3036 x2  2 Mn 2.60, 7 W 2.62-2.88


<ii>
The following is a DFT calculation (GGA-PBEsol) of a relaxed MnW2Br crystal.

Cell lengths 5.2844, 8.6934, 2.8540 Å; angles 90.00, 110.36, 90.00 degrees
Closest atoms and distances in Å follow each position.
Space group C2/m (No. 12)
Unique sites:
Mn1 0.0000 0.0000 0.0000 x2  2 Br 2.64, 4 W 2.68, 2 Mn 2.85
W1 0.2500 0.2500 0.5000 x4  4 W 2.64-2.85, 2 Mn 2.68, 2 Br 2.68
Br1 0.0000 0.5000 0.0000 x2  2 Mn 2.64, 4 W 2.68, 2 Br 2.85


The most stable arrangement is <i>, and the next structure is 165 meV/atom less stable.


<i>
The following is a DFT calculation (GGA-PBEsol) of a relaxed MnW2Br crystal.

Cell lengths 2.8995, 4.4721, 8.8853 Å; angles 90.00, 90.00, 90.00 degrees
Closest atoms and distances in Å follow each position.
Space group Imm2 (No. 44)
Unique sites:
Mn1 0.0000 0.0000 0.0000 x2  2 Br 2.46, 6 W 2.59-2.68
W1 0.0000 0.0000 0.5315 x2  2 Br 2.62, 4 Mn 2.68, 4 W 2.90-2.91
W2 0.0000 0.5000 0.7412 x2  2 Mn 2.59, 4 Br 2.68
Br1 0.0000 0.5000 0.2768 x2  2 Mn 2.46, 6 W 2.62-2.68


<ii>
The following is a DFT calculation (GGA-PBEsol) of a relaxed MnW2Br crystal.

Cell lengths 6.1778, 6.1778, 6.1778 Å; angles 90.00, 90.00, 90.00 degrees
Closest atoms and distances in Å follow each position.
Space group Fm-3m (No. 225)
Unique sites:
Mn1 0.0000 0.0000 0.0000 x4  8 W 2.68
W1 0.2500 0.2500 0.2500 x8  4 Mn 2.68, 4 Br 2.68
Br1 0.0000 0.0000 0.5000 x4  8 W 2.68


<iii>
The following is a DFT calculation (GGA-PBEsol) of a relaxed MnW2Br crystal.

Cell lengths 4.5034, 4.5034, 2.8739 Å; angles 90.00, 90.00, 90.00 degrees
Closest atoms and distances in Å follow each position.
Space group P4/mmm (No. 123)
Unique sites:
Mn1 0.0000 0.0000 0.0000 x1  8 W 2.67, 2 Mn 2.87
W1 0.0000 0.5000 0.5000 x2  4 Br 2.67, 4 Mn 2.67, 2 W 2.87
Br1 0.5000 0.5000 0.0000 x1  8 W 2.67, 2 Br 2.87


The most stable arrangement is <i>, and the next structure is 80 meV/atom less stable.


<i>
The following is a DFT calculation (GGA-PBEsol) of a relaxed YMnBr2 crystal.

Cell lengths 3.6442, 3.6442, 26.6149 Å; angles 90.00, 90.00, 120.00 degrees
Closest atoms and distances in Å follow each position.
Space group R-3m (No. 166, hexagonal axes)
Unique sites:
Y1 0.0000 0.0000 0.0000 x3  2 Br 2.85
Mn1 0.0000 0.0000 0.5000 x3  6 Br 2.64
Br1 0.0000 0.0000 0.1070 x6  3 Mn 2.64, 1 Y 2.85


<ii>
The following is a DFT calculation (GGA-PBEsol) of a relaxed YMnBr2 crystal.

Cell lengths 3.9655, 3.9655, 11.2935 Å; angles 90.00, 90.00, 90.00 degrees
Closest atoms and distances in Å follow each position.
Space group I-4m2 (No. 119)
Unique sites:
Y1 0.0000 0.0000 0.0000 x2  4 Br 2.80
Mn1 0.0000 0.5000 0.7500 x2  4 Br 2.80
Br1 0.0000 0.0000 0.5000 x2  4 Y 2.80
Br2 0.0000 0.5000 0.2500 x2  4 Mn 2.80


<iii>
The following is a DFT calculation (GGA-PBEsol) of a relaxed YMnBr2 crystal.

Cell lengths 6.6977, 9.1023, 3.5653 Å; angles 90.00, 120.44, 90.00 degrees
Closest atoms and distances in Å follow each position.
Space group C2/m (No. 12)
Unique sites:
Y1 0.0000 0.0000 0.0000 x2  4 Br 2.83
Mn1 0.0000 0.5000 0.0000 x2  4 Br 2.83
Br1 0.2500 0.2500 0.0000 x4  2 Mn 2.83, 2 Y 2.83


The most stable arrangement is <iii>, and the next structure is 45 meV/atom less stable.


<i>
The following is a DFT calculation (GGA-PBEsol) of a relaxed Zr2MnBr crystal.

Cell lengths 4.3727, 4.4372, 7.6124 Å; angles 90.00, 90.00, 90.00 degrees
Closest atoms and distances in Å follow each position.
Space group Cmmm (No. 65)
Unique sites:
Zr1 0.0000 0.0000 0.2034 x4  4 Mn 2.68-2.71
Mn1 0.0000 0.5000 0.0000 x2  8 Zr 2.68-2.71
Br1 0.0000 0.5000 0.5000 x2  4 Br 3.11, 8 Zr 3.14-3.17


<ii>
The following is a DFT calculation (GGA-PBEsol) of a relaxed Zr2MnBr crystal.

Cell lengths 4.3829, 4.3829, 7.5845 Å; angles 90.00, 90.00, 90.00 degrees
Closest atoms and distances in Å follow each position.
Space group I4/mmm (No. 139)
Unique sites:
Zr1 0.0000 0.5000 0.2500 x4  4 Mn 2.90, 4 Br 2.90, 4 Zr 3.10
Mn1 0.0000 0.0000 0.0000 x2  8 Zr 2.90, 4 Br 3.10
Br1 0.0000 0.0000 0.5000 x2  8 Zr 2.90, 4 Mn 3.10


The most stable arrangement is <i>, and the next structure is 454 meV/atom less stable.


<i>
The following is a DFT calculation (GGA-PBEsol) of a relaxed ZrMnBr2 crystal.

Cell lengths 3.3407, 3.3407, 7.7241 Å; angles 90.00, 90.00, 90.00 degrees
Closest atoms and distances in Å follow each position.
Space group P4mm (No. 99)
Unique sites:
Zr1 0.0000 0.0000 0.0000 x1  4 Mn 2.90, 5 Br 2.90-2.97
Mn1 0.5000 0.5000 0.7827 x1  4 Br 2.66, 4 Zr 2.90
Br1 0.0000 0.0000 0.6247 x1  4 Mn 2.66, 1 Zr 2.90
Br2 0.5000 0.5000 0.2333 x1  4 Zr 2.97


<ii>
The following is a DFT calculation (GGA-PBEsol) of a relaxed ZrMnBr2 crystal.

Cell lengths 3.4476, 3.4476, 26.5916 Å; angles 90.00, 90.00, 120.00 degrees
Closest atoms and distances in Å follow each position.
Space group R3m (No. 160, hexagonal axes)
Unique sites:
Zr1 0.0000 0.0000 0.0000 x3  3 Br 2.73, 3 Mn 2.86
Mn1 0.0000 0.0000 0.2559 x3  3 Br 2.58, 3 Zr 2.86
Br1 0.0000 0.0000 0.5276 x3  3 Mn 2.58
Br2 0.0000 0.0000 0.7370 x3  3 Zr 2.73


The most stable arrangement is <ii>, and the next structure is 82 meV/atom less stable.


<i>
The following is a DFT calculation (GGA-PBEsol) of a relaxed MoBr2 crystal.

Cell lengths 14.4676, 7.2739, 3.2006 Å; angles 90.00, 90.00, 90.00 degrees
Closest atoms and distances in Å follow each position.
Space group Cmcm (No. 63)
Unique sites:
Mo1 0.0000 0.1285 0.2500 x4  2 Mo 2.46, 4 Br 2.61
Br1 0.1295 0.2467 0.7500 x8  2 Mo 2.61


<ii>
The following is a DFT calculation (GGA-PBEsol) of a relaxed MoBr2 crystal.

Cell lengths 15.1880, 11.7627, 11.7538 Å; angles 90.00, 90.00, 90.00 degrees
Closest atoms and distances in Å follow each position.
Space group Cmce (No. 64)
Unique sites:
Mo1 0.0000 0.0680 0.1416 x8  5 Br 2.58-2.64, 4 Mo 2.61-2.62
Mo2 0.0000 0.1416 0.9320 x8  5 Br 2.58-2.64, 4 Mo 2.61-2.62
Mo3 0.1224 0.0000 0.0000 x8  5 Br 2.55-2.59, 4 Mo 2.62
Br1 0.0000 0.1491 0.3510 x8  2 Mo 2.64
Br2 0.1201 0.0731 0.7923 x16  3 Mo 2.58-2.59
Br3 0.1201 0.2075 0.0731 x16  3 Mo 2.58-2.59
Br4 0.2099 0.0000 0.5000 x8  1 Mo 2.55


The most stable arrangement is <ii>, and the next structure is 504 meV/atom less stable.


<i>
The following is a DFT calculation (GGA-PBEsol) of a relaxed MoOs2Br crystal.

Cell lengths 3.9575, 3.9575, 7.7772 Å; angles 90.00, 90.00, 90.00 degrees
Closest atoms and distances in Å follow each position.
Space group I4/mmm (No. 139)
Unique sites:
Mo1 0.0000 0.0000 0.0000 x2  8 Os 2.77, 4 Br 2.80
Os1 0.0000 0.5000 0.2500 x4  4 Mo 2.77, 4 Br 2.77, 4 Os 2.80
Br1 0.0000 0.0000 0.5000 x2  8 Os 2.77, 4 Mo 2.80


<ii>
The following is a DFT calculation (GGA-PBEsol) of a relaxed MoOs2Br crystal.

Cell lengths 5.7925, 7.3839, 2.8494 Å; angles 90.00, 90.00, 90.00 degrees
Closest atoms and distances in Å follow each position.
Space group Cmmm (No. 65)
Unique sites:
Mo1 0.0000 0.0000 0.0000 x2  8 Os 2.74, 2 Mo 2.85, 2 Br 2.90
Os1 0.2500 0.2500 0.5000 x4  4 Mo 2.74, 4 Br 2.74, 4 Os 2.85-2.90
Br1 0.0000 0.5000 0.0000 x2  8 Os 2.74, 2 Br 2.85, 2 Mo 2.90


The most stable arrangement is <ii>, and the next structure is 51 meV/atom less stable.